{"formula": "Li5B6C6", "functional": "PBE", "state": "optimized geometry", "formation_energy_ev_per_atom": -0.2853, "relative_energy_kj_per_mol_fu": 6.5, "volume_a3_per_atom": 8.143, "lattice": [[-2.3442, -1.9854, 3.6034], [-1.1183, -1.1288, -4.4607], [4.7449, -5.3186, 0.1564]], "species": ["C", "B", "Li", "C", "Li", "Li", "C", "B", "Li", "C", "B", "C", "C", "B", "B", "B", "Li"], "fractional_positions": [[0.3349, 0.3349, 0.2537], [0.3318, 0.0000, 0.2513], [0.6667, 0.3333, 0.0000], [0.0000, 0.6651, 0.2537], [0.6667, 0.3333, 0.5000], [0.3333, 0.6667, 0.0000], [0.3349, 0.0000, 0.7463], [0.6682, 0.0000, 0.7487], [0.3333, 0.6667, 0.5000], [0.6651, 0.0000, 0.2537], [0.3318, 0.3318, 0.7487], [0.6651, 0.6651, 0.7463], [0.0000, 0.3349, 0.7463], [0.6682, 0.6682, 0.2513], [0.0000, 0.3318, 0.2513], [0.0000, 0.6682, 0.7487], [0.0000, 0.0000, 0.5000]]}